No. 1
Computed, not measured: a relaxed TbCoTc crystal at the PBE level of DFT.

Cell lengths 6.4608, 6.4608, 4.3772 Å; angles 90.00, 90.00, 120.00 degrees
Fractional coordinates of all 9 atoms:
1 Tb 0.0000 0.5879 0.0000
2 Tb 0.4121 0.4121 0.0000
3 Tb 0.5879 0.0000 0.0000
4 Co 0.0000 0.0000 0.0000
5 Co 0.3333 0.6667 0.5000
6 Co 0.6667 0.3333 0.5000
7 Tc 0.0000 0.2377 0.5000
8 Tc 0.2377 0.0000 0.5000
9 Tc 0.7623 0.7623 0.5000

Computed properties:
Polymorph energy (0 for the lowest one) ... 0.179 eV per atom
M_tot ... 0.249 μB/atom
Formation enthalpy at 0 K ... 0.03 eV per atom
Space group ... P-62m
Calculated total energy ... -7.3358 eV per atom

---

No. 2
Computed, not measured: a relaxed Tb6Co2Tc crystal at the PBE level of DFT.

Cell lengths 8.2077, 8.2077, 8.2077 Å; angles 110.92, 109.59, 107.92 degrees
Fractional coordinates of all 18 atoms:
1 Tb 0.0489 0.2356 0.8133
2 Tb 0.1715 0.4864 0.3150
3 Tb 0.1715 0.8565 0.6850
4 Tb 0.3242 0.2414 0.5656
5 Tb 0.3242 0.7586 0.0828
6 Tb 0.4223 0.2356 0.1867
7 Tb 0.5777 0.7644 0.8133
8 Tb 0.6758 0.2414 0.9172
9 Tb 0.6758 0.7586 0.4344
10 Tb 0.8285 0.1435 0.3150
11 Tb 0.8285 0.5136 0.6850
12 Tb 0.9511 0.7644 0.1867
13 Co 0.1672 0.5000 0.6672
14 Co 0.3874 0.8874 0.5000
15 Co 0.6126 0.1126 0.5000
16 Co 0.8328 0.5000 0.3328
17 Tc 0.0000 0.0000 0.0000
18 Tc 0.5000 0.5000 0.0000

Computed properties:
M_tot ... 0.000 μB/atom
Formation enthalpy at 0 K ... -0.09 eV per atom
Space group ... Immm
Calculated total energy ... -5.9107 eV per atom

---

No. 3
Computed, not measured: a relaxed Tb8Co2Tc crystal at the PBE level of DFT.

Cell lengths 7.4528, 7.4528, 5.8426 Å; angles 100.12, 100.12, 113.66 degrees
Fractional coordinates of all 11 atoms:
1 Tb 0.0000 0.0000 0.0000
2 Tb 0.0302 0.2875 0.5989
3 Tb 0.1525 0.5832 0.1905
4 Tb 0.2875 0.0302 0.5989
5 Tb 0.4395 0.6973 0.7903
6 Tb 0.5832 0.1525 0.1905
7 Tb 0.6973 0.4395 0.7903
8 Tb 0.7236 0.7236 0.3766
9 Co 0.0537 0.6672 0.6876
10 Co 0.6672 0.0537 0.6876
11 Tc 0.3604 0.3604 0.1032

Computed properties:
M_tot ... 0.000 μB/atom
Formation enthalpy at 0 K ... -0.02 eV per atom
Space group ... Cm
Calculated total energy ... -5.6178 eV per atom

---

No. 4
Computed, not measured: a relaxed TbCoTc crystal at the PBE level of DFT.

Cell lengths 5.3006, 5.3006, 5.3006 Å; angles 124.11, 118.20, 88.09 degrees
Fractional coordinates of all 6 atoms:
1 Tb 0.3704 0.1204 0.2500
2 Tb 0.6296 0.8796 0.7500
3 Co 0.0000 0.5000 0.5000
4 Co 0.5000 0.5000 0.0000
5 Tc 0.0000 0.0000 0.5000
6 Tc 0.0000 0.5000 0.0000

Computed properties:
Polymorph energy (0 for the lowest one) ... 0.000 eV per atom
M_tot ... 0.355 μB/atom
Formation enthalpy at 0 K ... -0.15 eV per atom
Space group ... Imma
Calculated total energy ... -7.5149 eV per atom

---

No. 5
Computed, not measured: a relaxed TbThCoTc crystal at the PBE level of DFT.

Cell lengths 4.8929, 4.8929, 4.8929 Å; angles 60.00, 60.00, 60.00 degrees
Fractional coordinates of all 4 atoms:
1 Tb 0.0000 0.0000 0.0000
2 Th 0.5000 0.5000 0.5000
3 Co 0.7500 0.7500 0.7500
4 Tc 0.2500 0.2500 0.2500

Computed properties:
M_tot ... 0.125 μB/atom
Formation enthalpy at 0 K ... -0.07 eV per atom
Space group ... F-43m
Calculated total energy ... -7.4474 eV per atom

---

No. 6
Computed, not measured: a relaxed TbZrCoTc crystal at the PBE level of DFT.

Cell lengths 4.6848, 4.6848, 4.6848 Å; angles 60.00, 60.00, 60.00 degrees
Fractional coordinates of all 4 atoms:
1 Tb 0.0000 0.0000 0.0000
2 Zr 0.5000 0.5000 0.5000
3 Co 0.7500 0.7500 0.7500
4 Tc 0.2500 0.2500 0.2500

Computed properties:
M_tot ... 0.000 μB/atom
Formation enthalpy at 0 K ... -0.13 eV per atom
Space group ... F-43m
Calculated total energy ... -7.7928 eV per atom

---

No. 7
Computed, not measured: a relaxed Tb12Co6Te crystal at the PBE level of DFT.

Cell lengths 8.4449, 8.4449, 8.4449 Å; angles 109.47, 109.47, 109.47 degrees
Fractional coordinates of all 19 atoms:
1 Tb 0.1102 0.3073 0.8029
2 Tb 0.1971 0.5044 0.3073
3 Tb 0.1971 0.8898 0.6927
4 Tb 0.3073 0.1971 0.5044
5 Tb 0.3073 0.8029 0.1102
6 Tb 0.4956 0.6927 0.8029
7 Tb 0.5044 0.3073 0.1971
8 Tb 0.6927 0.1971 0.8898
9 Tb 0.6927 0.8029 0.4956
10 Tb 0.8029 0.1102 0.3073
11 Tb 0.8029 0.4956 0.6927
12 Tb 0.8898 0.6927 0.1971
13 Co 0.1123 0.5000 0.6123
14 Co 0.3877 0.8877 0.5000
15 Co 0.5000 0.3877 0.8877
16 Co 0.5000 0.6123 0.1123
17 Co 0.6123 0.1123 0.5000
18 Co 0.8877 0.5000 0.3877
19 Te 0.0000 0.0000 0.0000

Computed properties:
Raw formation energy ... -0.299 eV/atom
M_tot ... 0.000 μB/atom
Space group ... Im-3
Calculated total energy ... -5.6329 eV per atom

---

No. 8
Computed, not measured: a relaxed Tb12Co5Te crystal at the PBE level of DFT.

Cell lengths 8.3464, 8.3464, 8.3464 Å; angles 110.93, 110.33, 107.17 degrees
Fractional coordinates of all 18 atoms:
1 Tb 0.0098 0.2033 0.8065
2 Tb 0.1830 0.2898 0.4728
3 Tb 0.1830 0.7102 0.8932
4 Tb 0.3115 0.0017 0.6902
5 Tb 0.3115 0.6212 0.3098
6 Tb 0.3968 0.2033 0.1935
7 Tb 0.6032 0.7967 0.8065
8 Tb 0.6885 0.3788 0.6902
9 Tb 0.6885 0.9983 0.3098
10 Tb 0.8170 0.2898 0.1068
11 Tb 0.8170 0.7102 0.5272
12 Tb 0.9902 0.7967 0.1935
13 Co 0.0000 0.0000 0.0000
14 Co 0.1114 0.6114 0.5000
15 Co 0.3771 0.0000 0.3771
16 Co 0.6229 0.0000 0.6229
17 Co 0.8886 0.3886 0.5000
18 Te 0.5000 0.5000 0.0000

Computed properties:
Raw formation energy ... -0.293 eV/atom
M_tot ... 0.000 μB/atom
Space group ... Immm
Calculated total energy ... -5.5281 eV per atom